Here is a relaxed PuScBr5 crystal from Alexandria via LeMat-Bulk. Energies are from PBE.

a b c (Å): 8.301 3.930 13.555
angles (deg): 90.00 93.70 90.00
Fractional positions:
Pu: 0.090 0.250 0.145
Pu: 0.910 0.750 0.855
Sc: 0.415 0.750 0.349
Sc: 0.585 0.250 0.651
Br: 0.076 0.750 0.312
Br: 0.160 0.250 0.929
Br: 0.323 0.250 0.477
Br: 0.361 0.750 0.141
Br: 0.379 0.750 0.699
Br: 0.621 0.250 0.301
Br: 0.639 0.250 0.859
Br: 0.677 0.750 0.523
Br: 0.840 0.750 0.071
Br: 0.924 0.250 0.688

Calculated values
The volume comes out at 31.5 A^3/atom. As for the space group: P2_1/m. The magnetization comes out at 12.0 Bohr magnetons per cell. The uncorrected energy is -5.708 eV per atom. Its energy relative to the elements, uncorrected is -1.5613 eV/atom.